No. 1
Compound: MgCuAs2
Source: the Alexandria database
Functional: PBE
Structure: relaxed

Results
The calculation puts the total energy at -14.8 eV per cell. Its formation enthalpy at 0 K is 0.040 eV per atom. The magnetization is 0.00 μB per cell. The calculated volume comes out at 70.58 Å³ per cell. The density comes out at 5.592 g cm⁻³.

```
data_MgCuAs2
_chemical_formula_sum 'Mg1 Cu1 As2'
_cell_length_a 3.120
_cell_length_b 3.120
_cell_length_c 7.368
_cell_angle_alpha 90.00
_cell_angle_beta 90.00
_cell_angle_gamma 100.30
_symmetry_space_group_name_H-M 'P 1'
_symmetry_Int_Tables_number 1
loop_
_symmetry_equiv_pos_as_xyz
'x,y,z'
loop_
_atom_site_label
_atom_site_type_symbol
_atom_site_fract_x
_atom_site_fract_y
_atom_site_fract_z
As1 As 0.000 0.000 0.021
As2 As 0.000 0.000 0.479
Mg1 Mg 0.500 0.500 0.750
Cu1 Cu 0.500 0.500 0.250
```

No. 2
Compound: MgCu2As
Source: the Alexandria database
Functional: PBE
Structure: relaxed

Results
The calculation puts the total energy at -14.5 eV per cell. Its formation enthalpy at 0 K is -0.022 eV per atom. The magnetization is 0.00 μB per cell. The calculated volume comes out at 61.52 Å³ per cell. The density comes out at 6.109 g cm⁻³.

```
data_MgCu2As
_chemical_formula_sum 'Mg1 Cu2 As1'
_cell_length_a 3.394
_cell_length_b 3.394
_cell_length_c 5.339
_cell_angle_alpha 90.00
_cell_angle_beta 90.00
_cell_angle_gamma 89.85
_symmetry_space_group_name_H-M 'P 1'
_symmetry_Int_Tables_number 1
loop_
_symmetry_equiv_pos_as_xyz
'x,y,z'
loop_
_atom_site_label
_atom_site_type_symbol
_atom_site_fract_x
_atom_site_fract_y
_atom_site_fract_z
Cu1 Cu 0.000 0.000 0.505
Cu2 Cu 0.000 0.000 0.995
Mg1 Mg 0.500 0.500 0.250
As1 As 0.500 0.500 0.750
```

No. 3
Compound: MgCuAs
Source: the Alexandria database
Functional: PBE
Structure: relaxed

Results
The calculation puts the total energy at -11.1 eV per cell. Its formation enthalpy at 0 K is -0.248 eV per atom. The magnetization is 0.00 μB per cell. The calculated volume comes out at 53.57 Å³ per cell. The density comes out at 5.046 g cm⁻³.

```
data_MgCuAs
_chemical_formula_sum 'Mg1 Cu1 As1'
_cell_length_a 4.052
_cell_length_b 4.052
_cell_length_c 3.768
_cell_angle_alpha 90.00
_cell_angle_beta 90.00
_cell_angle_gamma 120.00
_symmetry_space_group_name_H-M 'P 1'
_symmetry_Int_Tables_number 1
loop_
_symmetry_equiv_pos_as_xyz
'x,y,z'
loop_
_atom_site_label
_atom_site_type_symbol
_atom_site_fract_x
_atom_site_fract_y
_atom_site_fract_z
As1 As 0.000 0.000 0.167
Cu1 Cu 0.667 0.333 0.167
Mg1 Mg 0.333 0.667 0.666
```

No. 4
Compound: MgCu2As
Source: the Alexandria database
Functional: PBE
Structure: relaxed

Results
The calculation puts the total energy at -14.6 eV per cell. Its formation enthalpy at 0 K is -0.050 eV per atom. The magnetization is 0.00 μB per cell. The calculated volume comes out at 61.89 Å³ per cell. The density comes out at 6.072 g cm⁻³.

```
data_MgCu2As
_chemical_formula_sum 'Mg1 Cu2 As1'
_cell_length_a 3.948
_cell_length_b 3.037
_cell_length_c 5.466
_cell_angle_alpha 70.80
_cell_angle_beta 90.00
_cell_angle_gamma 90.00
_symmetry_space_group_name_H-M 'P 1'
_symmetry_Int_Tables_number 1
loop_
_symmetry_equiv_pos_as_xyz
'x,y,z'
loop_
_atom_site_label
_atom_site_type_symbol
_atom_site_fract_x
_atom_site_fract_y
_atom_site_fract_z
Cu1 Cu 0.500 0.210 0.206
Mg1 Mg 0.000 0.568 0.516
Cu2 Cu 0.000 0.791 0.028
As1 As 0.500 0.931 0.750
```